# 1
Entry from Alexandria via LeMat-Bulk: a relaxed structure of BePBr3 (GGA-PBE). Values from VASP.

The structure in Quantum ESPRESSO input format:
```
&SYSTEM
  ibrav = 0, nat = 5, ntyp = 3
/
ATOMIC_SPECIES
Br 79.90 Br.upf
P 30.97 P.upf
Be 9.01 Be.upf
CELL_PARAMETERS angstrom
5.1365 0.0000 0.0000
0.0000 5.1365 0.0000
0.0000 0.0000 5.1365
ATOMIC_POSITIONS crystal
Br 0.0000 0.0000 0.5000
P 0.0000 0.0000 0.0000
Br 0.5000 0.0000 0.0000
Br 0.0000 0.5000 0.0000
Be 0.5000 0.5000 0.5000
```

## Properties
Energy above the lowest structure with this stoichiometry   213 meV/atom
ΔE_f (raw)   0.55 eV/atom
Size of the total moment   0.5 μB per formula unit
DFT total energy   -0.1679 Ry/atom

=====

# 2
Entry from Alexandria via LeMat-Bulk: a relaxed structure of BePBr (GGA-PBE). Values from VASP.

The structure in Quantum ESPRESSO input format:
```
&SYSTEM
  ibrav = 0, nat = 3, ntyp = 3
/
ATOMIC_SPECIES
Br 79.90 Br.upf
P 30.97 P.upf
Be 9.01 Be.upf
CELL_PARAMETERS angstrom
-6.0832 -2.7250 3.9677
-2.6804 -5.1143 5.1801
5.2585 4.9281 -2.8698
ATOMIC_POSITIONS crystal
Br 0.2871 0.2871 0.0000
P 0.5743 0.5743 0.0000
Be 0.1386 0.1386 0.0000
```

## Properties
Energy above the lowest structure with this stoichiometry   492 meV/atom
ΔE_f (raw)   0.07 eV/atom
Size of the total moment   0.0 μB per formula unit
DFT total energy   -0.2597 Ry/atom

=====

# 3
Entry from Alexandria via LeMat-Bulk: a relaxed structure of BePBr (GGA-PBE). Values from VASP.

The structure in Quantum ESPRESSO input format:
```
&SYSTEM
  ibrav = 0, nat = 6, ntyp = 3
/
ATOMIC_SPECIES
P 30.97 P.upf
Br 79.90 Br.upf
Be 9.01 Be.upf
CELL_PARAMETERS angstrom
-1.4571 -3.2630 1.3494
6.4399 -3.0101 -0.2865
4.1361 0.4351 5.5174
ATOMIC_POSITIONS crystal
P 0.9999 0.5017 0.8528
Br 0.4991 0.7775 0.3605
Be 0.4999 0.5015 0.7053
Br 0.5009 0.2225 0.6395
P 0.0001 0.4983 0.1472
Be 0.5001 0.4985 0.2947
```

## Properties
Energy above the lowest structure with this stoichiometry   0 meV/atom
ΔE_f (raw)   -0.42 eV/atom
Size of the total moment   0.0 μB per formula unit
DFT total energy   -0.2958 Ry/atom